A relaxed structure of CaIn12Pt6. Source: the Alexandria database, functional PBE.

Unit cell a=12.5673 b=12.5673 c=9.3556 alpha=90.00 beta=90.00 gamma=120.00
Space group R-3m (No. 166, hexagonal axes)
One atom of each set of equivalent atoms:
Ca: 0.0000 0.0000 0.0000
In: 0.0000 0.3829 0.5000
In: 0.0848 0.1696 0.3195
Pt: 0.0481 0.5241 0.2485

The value obtained for the total energy is -4.13 eV/atom. As for the formation energy: -384 meV per atom. For the theoretical density, the calculation gives 10.077 g/cm3.